Here is BaSi2Pt at its PBEsol-relaxed geometry from Alexandria via LeMat-Bulk. Energies are from meta-GGA SCAN.

Cell lengths 4.116, 4.116, 6.583 Å; angles 71.78, 71.78, 60.00 degrees
Element x y z (fractional)
Ba 0.493 0.493 0.522
Si 0.036 0.036 0.891
Si 0.292 0.292 0.123
Pt 0.673 0.673 0.982

Calculated values
For the density of states at the Fermi level, the calculation gives 1.72 states/eV per cell. The value obtained for the formation energy from raw total energies is -0.76 eV per atom. The density is 7.16 g/cm³. As for the space group: No. 160. The crystal system is trigonal.